1.
DFT (PBE) results for a relaxed structure of Li7RhO6.

Properties
* crystal system: trigonal
* DOS at the Fermi energy: 4.14 states/eV per cell
* uncorrected energy: -5.1786 eV per atom
* V: 129.8 Å³/cell
* symmetry: No. 146

extended XYZ file:
```
14
Lattice="2.806 1.620 4.759 -2.806 1.620 4.759 0.000 -3.240 4.759" Properties=species:S:1:pos:R:3 pbc="T T T"
Li 0.000 0.000 0.000
Li -1.570 0.045 6.151
Li -1.017 -1.873 7.787
Li 0.746 -1.382 6.151
Li -1.114 1.818 7.787
Li 0.824 1.337 6.151
Li 2.131 0.056 7.787
Rh 0.000 0.000 9.345
O -1.130 -1.789 5.740
O -1.632 -0.033 8.188
O -0.985 1.873 5.740
O 0.844 -1.397 8.188
O 2.115 -0.084 5.740
O 0.787 1.429 8.188
```


2.
DFT (PBE) results for a relaxed structure of LiRhO2.

Properties
* crystal system: cubic
* DOS at the Fermi energy: 0.00 states/eV per cell
* uncorrected energy: -5.9909 eV per atom
* V: 159.6 Å³/cell
* symmetry: No. 227

extended XYZ file:
```
16
Lattice="0.000 4.305 4.305 4.305 0.000 4.305 4.305 4.305 0.000" Properties=species:S:1:pos:R:3 pbc="T T T"
Li 0.000 0.000 0.000
Li 2.152 2.152 0.000
Li 2.152 0.000 2.152
Li 0.000 2.152 2.152
Rh 4.305 2.152 2.152
Rh 2.152 4.305 2.152
Rh 2.152 2.152 4.305
Rh 4.305 4.305 4.305
O 2.218 2.218 2.218
O 4.239 4.239 2.218
O 4.239 2.218 4.239
O 6.392 4.370 4.370
O 2.218 4.239 4.239
O 4.370 6.392 4.370
O 4.370 4.370 6.392
O 6.392 6.392 6.392
```


3.
DFT (PBE) results for a relaxed structure of Li3Rh2O4.

Properties
* crystal system: monoclinic
* DOS at the Fermi energy: 6.50 states/eV per cell
* uncorrected energy: -5.5902 eV per atom
* V: 104.6 Å³/cell
* symmetry: No. 12

extended XYZ file:
```
9
Lattice="5.426 -1.343 0.000 5.426 1.343 0.000 -2.431 0.000 7.179" Properties=species:S:1:pos:R:3 pbc="T T T"
Li 0.000 0.000 0.000
Li 3.378 0.000 4.463
Li 5.042 0.000 2.715
Rh 2.214 0.000 1.823
Rh 6.206 0.000 5.356
O -0.574 0.000 4.751
O 2.153 0.000 5.946
O 6.268 0.000 1.233
O 8.994 0.000 2.427
```